DFT (PBE) results for a geometry-optimized SrSi2P structure.

Computed properties:
DOS at the Fermi energy, states/eV/f.u.: 1.69
Uncorrected energy, eV/cell: -72.77

abc: 7.299 7.299 6.931
angles: 90.00 90.00 90.00
Space group I-42d (No. 122)
Asymmetric unit:
1 Sr 0.000 0.000 0.000
2 Si 0.161 0.750 0.625
3 P 0.000 0.000 0.500



DFT (PBE) results for a geometry-optimized FeRuRh3 structure.

Computed properties:
DOS at the Fermi energy, states/eV/f.u.: 5.48
Polymorph energy (0 for the lowest one), kJ per mole of atoms: 0.0
ΔH_f (0 K), kJ/mol of formula units: 5

abc: 5.996 3.809 6.023
angles: 90.00 90.12 90.00
Space group P2_1/m (No. 11)
Asymmetric unit:
1 Fe 0.249 0.250 0.249
2 Ru 0.143 0.750 0.949
3 Rh 0.049 0.250 0.653
4 Rh 0.353 0.750 0.551
5 Rh 0.452 0.250 0.854



DFT (PBE) results for a geometry-optimized KBiF4 structure.

Computed properties:
DOS at the Fermi energy, states/eV/f.u.: 0.00
Uncorrected energy, eV/cell: -28.17

abc: 4.021 4.021 6.284
angles: 90.00 90.00 90.00
Space group P4/mmm (No. 123)
Asymmetric unit:
1 K 0.000 0.000 0.000
2 Bi 0.500 0.500 0.500
3 F 0.000 0.500 0.289



DFT (PBE) results for a geometry-optimized Tb8BiSe6 structure.

Computed properties:
DOS at the Fermi energy, states/eV/f.u.: 9.71
Uncorrected energy, eV/cell: -82.23

abc: 10.6128 10.6128 4.0906
angles: 90.00 90.00 120.00
Space group P-3 (No. 147)
Asymmetric unit:
1 Tb 0.0367 0.7074 0.2456
2 Tb 0.3333 0.6667 0.7516
3 Bi 0.0000 0.0000 0.0000
4 Se 0.1324 0.4830 0.2511



DFT (PBE) results for a geometry-optimized LaRe2Sb structure.

Computed properties:
DOS at the Fermi energy, states/eV/f.u.: 3.67
Uncorrected energy, eV/cell: -31.51

abc: 2.984 5.152 5.529
angles: 90.00 91.10 90.00
Space group P2/m (No. 10)
Asymmetric unit:
1 La 0.000 0.000 0.000
2 Re 0.381 0.500 0.288
3 Sb 0.500 0.000 0.500



DFT (PBE) results for a geometry-optimized La2TbDy structure.

Computed properties:
DOS at the Fermi energy, states/eV/f.u.: 6.18
Polymorph energy (0 for the lowest one), kJ per mole of atoms: 1.3
ΔH_f (0 K), kJ/mol of formula units: 10

abc: 3.6583 3.6583 35.5027
angles: 90.00 90.00 120.00
Space group R3m (No. 160, hexagonal axes)
Asymmetric unit:
1 La 0.0000 0.0000 0.0000
2 La 0.0000 0.0000 0.1654
3 Tb 0.0000 0.0000 0.5842
4 Dy 0.0000 0.0000 0.4156



DFT (PBE) results for a geometry-optimized UZnPtRh structure.

Computed properties:
DOS at the Fermi energy, states/eV/f.u.: 5.66
ΔH_f (0 K), kJ/mol of formula units: -193

abc: 6.588 6.588 6.588
angles: 90.00 90.00 90.00
Space group F-43m (No. 216)
Asymmetric unit:
1 U 0.000 0.000 0.000
2 Zn 0.000 0.000 0.500
3 Pt 0.250 0.250 0.250
4 Rh 0.250 0.250 0.750



DFT (PBE) results for a geometry-optimized Ta2NiRh2 structure.

Computed properties:
DOS at the Fermi energy, states/eV/f.u.: 2.44
ΔH_f (0 K), kJ/mol of formula units: -200

abc: 4.641 14.223 4.661
angles: 90.00 90.00 90.00
Space group Cmc2_1 (No. 36)
Asymmetric unit:
1 Ta 0.000 0.138 0.000
2 Ta 0.000 0.362 0.008
3 Ni 0.000 0.046 0.489
4 Rh 0.000 0.237 0.504
5 Rh 0.000 0.444 0.511



DFT (PBE) results for a geometry-optimized Ce2GaFe structure.

Computed properties:
DOS at the Fermi energy, states/eV/f.u.: 5.93
Polymorph energy (0 for the lowest one), kJ per mole of atoms: 0.0
ΔH_f (0 K), kJ/mol of formula units: -121

abc: 7.412 6.887 6.938
angles: 90.00 90.00 90.00
Space group Pna2_1 (No. 33)
Asymmetric unit:
1 Ce 0.181 0.167 0.000
2 Ce 0.184 0.169 0.498
3 Ga 0.001 0.516 0.249
4 Fe 0.176 0.850 0.247



DFT (PBE) results for a geometry-optimized K3BaS structure.

Computed properties:
DOS at the Fermi energy, states/eV/f.u.: 4.03
Polymorph energy (0 for the lowest one), kJ per mole of atoms: 0.0

abc: 6.350 6.350 6.350
angles: 90.00 90.00 90.00
Space group Pm-3m (No. 221)
Asymmetric unit:
1 K 0.000 0.000 0.500
2 Ba 0.500 0.500 0.500
3 S 0.000 0.000 0.000



DFT (PBE) results for a geometry-optimized SrNbAu structure.

Computed properties:
DOS at the Fermi energy, states/eV/f.u.: 2.52
Polymorph energy (0 for the lowest one), kJ per mole of atoms: 8.6
ΔH_f (0 K), kJ/mol of formula units: -13

abc: 3.464 4.159 11.201
angles: 100.64 98.85 90.01
Space group P1 (No. 1)
Asymmetric unit:
1 Sr 0.000 0.000 0.000
2 Sr 0.178 0.179 0.358
3 Nb 0.349 0.850 0.702
4 Nb 0.855 0.356 0.715
5 Au 0.590 0.590 0.180
6 Au 0.749 0.750 0.501



DFT (PBE) results for a geometry-optimized ThZr2Cu structure.

Computed properties:
DOS at the Fermi energy, states/eV/f.u.: 6.48
Polymorph energy (0 for the lowest one), kJ per mole of atoms: 12.6
ΔH_f (0 K), kJ/mol of formula units: 43

abc: 5.0124 5.0124 12.3307
angles: 90.00 90.00 120.00
Space group R3m (No. 160, hexagonal axes)
Asymmetric unit:
1 Th 0.0000 0.0000 0.0000
2 Zr 0.0000 0.0000 0.5002
3 Zr 0.0000 0.0000 0.7502
4 Cu 0.0000 0.0000 0.2498